{"formula": "SrCuSb2Pd", "functional": "PBE", "state": "optimized geometry", "lattice": [[4.604, 0.000, 0.000], [0.000, 4.604, 0.000], [-2.302, -2.302, 5.636]], "species": ["Sb", "Sb", "Pd", "Sr", "Cu"], "frac_coords": [[0.370, 0.370, 0.739], [0.630, 0.630, 0.261], [0.750, 0.250, 0.500], [0.000, 0.000, 0.000], [0.250, 0.750, 0.500]], "total_energy_ev_per_cell": -22.1, "magmom_total_mub_per_cell": 0.0, "spacegroup": "No. 119", "n_ef_per_ev_atom": 0.286, "formation_energy_uncorrected_ev_per_atom": -0.577}

{"formula": "Sr2CuSb4Pd3", "functional": "PBE", "state": "optimized geometry", "lattice": [[4.670, 0.000, 0.000], [0.000, 4.670, 0.000], [0.000, 0.000, 10.917]], "species": ["Sb", "Sb", "Sb", "Sb", "Pd", "Pd", "Pd", "Cu", "Sr", "Sr"], "frac_coords": [[0.500, 0.000, 0.626], [0.000, 0.000, 0.000], [0.500, 0.500, 0.000], [0.000, 0.500, 0.374], [0.000, 0.500, 0.130], [0.500, 0.000, 0.870], [0.000, 0.000, 0.500], [0.500, 0.500, 0.500], [0.000, 0.500, 0.739], [0.500, 0.000, 0.261]], "total_energy_ev_per_cell": -46.5, "magmom_total_mub_per_cell": 0.0, "spacegroup": "No. 115", "n_ef_per_ev_atom": 0.460, "formation_energy_uncorrected_ev_per_atom": -0.693}

{"formula": "Sr3Cu2SbPd9", "functional": "PBE", "state": "optimized geometry", "lattice": [[7.535, 0.000, 0.000], [-3.767, 6.525, 0.000], [0.000, 0.000, 6.839]], "species": ["Pd", "Pd", "Pd", "Pd", "Pd", "Pd", "Pd", "Pd", "Pd", "Cu", "Cu", "Sr", "Sr", "Sr", "Sb"], "frac_coords": [[0.828, 0.657, 0.677], [0.500, 0.500, 0.000], [0.172, 0.343, 0.323], [0.000, 0.500, 0.000], [0.657, 0.828, 0.323], [0.343, 0.172, 0.677], [0.172, 0.828, 0.323], [0.500, 0.000, 0.000], [0.828, 0.172, 0.677], [0.333, 0.667, 0.145], [0.667, 0.333, 0.855], [0.333, 0.667, 0.668], [0.667, 0.333, 0.332], [0.000, 0.000, 0.000], [0.000, 0.000, 0.500]], "total_energy_ev_per_cell": -67.2, "magmom_total_mub_per_cell": 0.0, "spacegroup": "No. 164", "n_ef_per_ev_atom": 0.340, "formation_energy_uncorrected_ev_per_atom": -0.208}

{"formula": "Ta2CuSbPd", "functional": "PBE", "state": "optimized geometry", "lattice": [[-3.784, 2.168, -2.595], [0.020, -3.461, -2.921], [-3.382, -2.452, 2.882]], "species": ["Pd", "Ta", "Ta", "Cu", "Sb"], "frac_coords": [[0.500, 0.500, 0.500], [0.000, 0.000, 0.500], [0.500, 0.000, 0.000], [0.000, 0.500, 0.000], [0.000, 0.000, 0.000]], "total_energy_ev_per_cell": -29.2, "magmom_total_mub_per_cell": 0.0, "spacegroup": "No. 123", "n_ef_per_ev_atom": 0.929, "formation_energy_uncorrected_ev_per_atom": 1.592}

{"formula": "TbCuSbPd", "functional": "PBE", "state": "optimized geometry", "lattice": [[-4.510, 0.856, 1.383], [-3.654, -2.021, -2.355], [-2.568, -3.471, 2.084]], "species": ["Tb", "Pd", "Sb", "Cu"], "frac_coords": [[0.000, 0.000, 0.000], [0.750, 0.750, 0.750], [0.500, 0.500, 0.500], [0.250, 0.250, 0.250]], "total_energy_ev_per_cell": -20.4, "magmom_total_mub_per_cell": 0.0, "spacegroup": "No. 216", "n_ef_per_ev_atom": 0.370, "formation_energy_uncorrected_ev_per_atom": -0.591}

{"formula": "CuSb2TePd", "functional": "PBE", "state": "optimized geometry", "lattice": [[-2.273, 0.642, -4.428], [-3.487, -3.366, 1.302], [-2.859, 3.738, 2.009]], "species": ["Sb", "Sb", "Cu", "Te", "Pd"], "frac_coords": [[0.500, 0.000, 0.000], [0.000, 0.500, 0.000], [0.000, 0.000, 0.000], [0.000, 0.000, 0.500], [0.500, 0.500, 0.500]], "total_energy_ev_per_cell": -17.8, "magmom_total_mub_per_cell": 0.0, "spacegroup": "No. 123", "n_ef_per_ev_atom": 0.639, "formation_energy_uncorrected_ev_per_atom": 0.573, "e_above_lowest_polymorph_kj_per_mol_fu": 0}

{"formula": "ThCuSbPd", "functional": "PBE", "state": "optimized geometry", "lattice": [[4.907, 0.000, 0.000], [2.453, 4.250, 0.000], [2.453, 1.417, 4.007]], "species": ["Pd", "Cu", "Th", "Sb"], "frac_coords": [[0.750, 0.750, 0.750], [0.250, 0.250, 0.250], [0.000, 0.000, 0.000], [0.500, 0.500, 0.500]], "total_energy_ev_per_cell": -23.0, "magmom_total_mub_per_cell": 0.0, "spacegroup": "No. 216", "n_ef_per_ev_atom": 0.694, "formation_energy_uncorrected_ev_per_atom": -0.534}

{"formula": "TiCuSbPd", "functional": "PBE", "state": "optimized geometry", "lattice": [[-3.322, 1.109, -2.898], [-1.854, -3.186, -2.660], [-4.252, -1.411, 0.769]], "species": ["Sb", "Cu", "Ti", "Pd"], "frac_coords": [[0.750, 0.750, 0.750], [0.250, 0.250, 0.250], [0.500, 0.500, 0.500], [0.000, 0.000, 0.000]], "total_energy_ev_per_cell": -22.3, "magmom_total_mub_per_cell": 0.2, "spacegroup": "No. 216", "n_ef_per_ev_atom": 0.810, "formation_energy_uncorrected_ev_per_atom": -0.244}

{"formula": "VCuSbPd", "functional": "PBE", "state": "optimized geometry", "lattice": [[-1.908, 3.778, -1.521], [-3.905, -0.190, -2.223], [-3.759, 1.552, 1.921]], "species": ["Cu", "Sb", "Pd", "V"], "frac_coords": [[0.250, 0.250, 0.250], [0.750, 0.750, 0.750], [0.500, 0.500, 0.500], [0.000, 0.000, 0.000]], "total_energy_ev_per_cell": -22.7, "magmom_total_mub_per_cell": 2.3, "spacegroup": "No. 216", "n_ef_per_ev_atom": 0.702, "formation_energy_uncorrected_ev_per_atom": -0.046}

{"formula": "ScCuPd5", "functional": "PBE", "state": "optimized geometry", "lattice": [[-2.455, -3.273, 1.355], [2.723, -0.690, 3.268], [-3.264, 3.917, 3.547]], "species": ["Pd", "Pd", "Pd", "Pd", "Pd", "Sc", "Cu"], "frac_coords": [[0.000, 0.500, 0.776], [0.500, 0.000, 0.224], [0.500, 0.000, 0.776], [0.000, 0.500, 0.224], [0.500, 0.500, 0.500], [0.000, 0.000, 0.500], [0.500, 0.500, 0.000]], "total_energy_ev_per_cell": -39.1, "magmom_total_mub_per_cell": 0.0, "formation_energy_ev_per_atom": -0.385, "spacegroup": "No. 123", "n_ef_per_ev_atom": 0.508, "e_above_lowest_polymorph_kj_per_mol_fu": 2}

{"formula": "Sc2Cu2Pd5", "functional": "PBE", "state": "optimized geometry", "lattice": [[6.464, -0.532, -0.277], [-0.440, 6.877, -0.908], [-3.338, -4.177, 7.363]], "species": ["Sc", "Sc", "Sc", "Sc", "Pd", "Pd", "Pd", "Pd", "Pd", "Pd", "Pd", "Pd", "Pd", "Pd", "Cu", "Cu", "Cu", "Cu"], "frac_coords": [[0.138, 0.591, 0.126], [0.927, 0.245, 0.621], [0.737, 0.276, 0.209], [0.383, 0.794, 0.718], [0.663, 0.287, 0.863], [0.875, 0.904, 0.135], [0.653, 0.667, 0.234], [0.340, 0.384, 0.285], [0.168, 0.922, 0.484], [0.905, 0.685, 0.571], [0.192, 0.832, 0.956], [0.257, 0.196, 0.896], [0.472, 0.066, 0.356], [0.678, 0.552, 0.717], [0.212, 0.299, 0.487], [0.897, 0.048, 0.922], [0.416, 0.551, 0.881], [0.589, 0.872, 0.541]], "total_energy_ev_per_cell": -102.3, "magmom_total_mub_per_cell": 0.0, "formation_energy_ev_per_atom": -0.484, "spacegroup": "No. 1", "n_ef_per_ev_atom": 0.374}

{"formula": "Sc2Cu2Pd", "functional": "PBE", "state": "optimized geometry", "lattice": [[4.997, 0.000, 0.000], [0.000, 4.997, 0.000], [2.498, 2.498, 3.655]], "species": ["Sc", "Sc", "Pd", "Cu", "Cu"], "frac_coords": [[0.750, 0.250, 0.500], [0.250, 0.750, 0.500], [0.000, 0.000, 0.000], [0.350, 0.350, 0.299], [0.650, 0.650, 0.701]], "total_energy_ev_per_cell": -26.9, "magmom_total_mub_per_cell": 0.0, "formation_energy_ev_per_atom": -0.179, "spacegroup": "No. 139", "n_ef_per_ev_atom": 0.561, "e_above_lowest_polymorph_kj_per_mol_fu": 156}

{"formula": "Sc2Cu2Pd", "functional": "PBE", "state": "optimized geometry", "lattice": [[4.020, -0.060, 1.919], [1.383, 3.774, 1.919], [-0.373, -0.256, 5.186]], "species": ["Sc", "Sc", "Pd", "Cu", "Cu"], "frac_coords": [[0.268, 0.768, 0.693], [0.732, 0.232, 0.307], [0.500, 0.000, 0.000], [0.094, 0.594, 0.248], [0.906, 0.406, 0.752]], "total_energy_ev_per_cell": -28.0, "magmom_total_mub_per_cell": 0.0, "formation_energy_ev_per_atom": -0.382, "spacegroup": "No. 12", "n_ef_per_ev_atom": 0.741, "e_above_lowest_polymorph_kj_per_mol_fu": 59}

{"formula": "Sc2CuPd6", "functional": "PBE", "state": "optimized geometry", "lattice": [[-2.787, -1.005, 0.457], [2.003, -2.558, 6.589], [-1.334, 7.833, -0.649]], "species": ["Sc", "Sc", "Pd", "Pd", "Pd", "Pd", "Pd", "Pd", "Cu"], "frac_coords": [[0.654, 0.663, 0.326], [0.346, 0.337, 0.674], [0.500, 0.295, 0.000], [0.500, 0.705, 0.000], [0.838, 0.029, 0.669], [0.838, 0.640, 0.669], [0.162, 0.360, 0.331], [0.162, 0.971, 0.331], [0.000, 0.000, 0.000]], "total_energy_ev_per_cell": -51.8, "magmom_total_mub_per_cell": 0.0, "formation_energy_ev_per_atom": -0.436, "spacegroup": "No. 12", "n_ef_per_ev_atom": 0.512}

{"formula": "ScCu4Pd", "functional": "PBE", "state": "optimized geometry", "lattice": [[-1.876, -4.491, 0.570], [0.335, -2.264, 4.334], [-4.010, -0.651, 2.741]], "species": ["Cu", "Cu", "Cu", "Cu", "Sc", "Pd"], "frac_coords": [[0.124, 0.625, 0.625], [0.625, 0.625, 0.625], [0.625, 0.625, 0.124], [0.625, 0.124, 0.625], [0.250, 0.250, 0.250], [0.000, 0.000, 0.000]], "total_energy_ev_per_cell": -29.9, "magmom_total_mub_per_cell": 0.0, "formation_energy_ev_per_atom": -0.335, "spacegroup": "No. 216", "n_ef_per_ev_atom": 0.870}

{"formula": "Sc3Cu8Pd", "functional": "PBE", "state": "optimized geometry", "lattice": [[4.977, 0.000, 0.000], [-2.488, 4.310, 0.000], [0.000, 0.000, 8.149]], "species": ["Pd", "Sc", "Sc", "Sc", "Cu", "Cu", "Cu", "Cu", "Cu", "Cu", "Cu", "Cu"], "frac_coords": [[0.000, 0.000, 0.553], [0.667, 0.333, 0.067], [0.000, 0.000, 0.905], [0.667, 0.333, 0.463], [0.501, 0.002, 0.751], [0.163, 0.837, 0.251], [0.673, 0.837, 0.251], [0.333, 0.667, 0.500], [0.163, 0.327, 0.251], [0.333, 0.667, 0.005], [0.501, 0.499, 0.751], [0.998, 0.499, 0.751]], "total_energy_ev_per_cell": -60.5, "magmom_total_mub_per_cell": 0.0, "formation_energy_ev_per_atom": -0.292, "spacegroup": "No. 156", "n_ef_per_ev_atom": 0.849}

{"formula": "ScCuPd6", "functional": "PBE", "state": "optimized geometry", "lattice": [[3.948, 0.000, 0.000], [0.000, 3.948, 0.000], [0.000, 0.000, 7.942]], "species": ["Pd", "Pd", "Pd", "Pd", "Pd", "Pd", "Sc", "Cu"], "frac_coords": [[0.500, 0.500, 0.500], [0.500, 0.000, 0.744], [0.500, 0.000, 0.256], [0.500, 0.500, 0.000], [0.000, 0.500, 0.744], [0.000, 0.500, 0.256], [0.000, 0.000, 0.000], [0.000, 0.000, 0.500]], "total_energy_ev_per_cell": -45.1, "magmom_total_mub_per_cell": 0.0, "formation_energy_ev_per_atom": -0.436, "spacegroup": "No. 123", "n_ef_per_ev_atom": 1.377, "e_above_lowest_polymorph_kj_per_mol_fu": 0}

{"formula": "Sc6CuPd12", "functional": "PBE", "state": "optimized geometry", "lattice": [[6.897, 0.298, 0.357], [-0.751, 6.863, 0.357], [-0.751, -0.875, 6.816]], "species": ["Pd", "Pd", "Pd", "Pd", "Pd", "Pd", "Pd", "Pd", "Pd", "Pd", "Pd", "Pd", "Sc", "Sc", "Sc", "Sc", "Sc", "Sc", "Cu"], "frac_coords": [[0.356, 0.038, 0.123], [0.208, 0.456, 0.530], [0.038, 0.123, 0.356], [0.962, 0.877, 0.644], [0.123, 0.356, 0.038], [0.792, 0.544, 0.470], [0.456, 0.530, 0.208], [0.530, 0.208, 0.456], [0.877, 0.644, 0.962], [0.644, 0.962, 0.877], [0.544, 0.470, 0.792], [0.470, 0.792, 0.544], [0.746, 0.305, 0.142], [0.858, 0.254, 0.695], [0.254, 0.695, 0.858], [0.695, 0.858, 0.254], [0.142, 0.746, 0.305], [0.305, 0.142, 0.746], [0.000, 0.000, 0.000]], "total_energy_ev_per_cell": -117.7, "magmom_total_mub_per_cell": 0.0, "formation_energy_ev_per_atom": -0.700, "spacegroup": "No. 148", "n_ef_per_ev_atom": 0.526}

{"formula": "Sc3Cu4Pd2", "functional": "PBE", "state": "optimized geometry", "lattice": [[4.799, 0.113, 0.461], [0.650, 7.455, 2.724], [0.331, -0.321, 7.950]], "species": ["Cu", "Cu", "Cu", "Cu", "Cu", "Cu", "Cu", "Cu", "Pd", "Pd", "Pd", "Pd", "Sc", "Sc", "Sc", "Sc", "Sc", "Sc"], "frac_coords": [[0.534, 0.072, 0.823], [0.134, 0.604, 0.855], [0.634, 0.855, 0.604], [0.034, 0.823, 0.072], [0.966, 0.177, 0.928], [0.866, 0.396, 0.145], [0.466, 0.928, 0.177], [0.366, 0.145, 0.396], [0.699, 0.493, 0.744], [0.199, 0.744, 0.493], [0.301, 0.507, 0.256], [0.801, 0.256, 0.507], [0.750, 0.622, 0.378], [0.587, 0.709, 0.963], [0.250, 0.378, 0.622], [0.087, 0.963, 0.709], [0.913, 0.037, 0.291], [0.413, 0.291, 0.037]], "total_energy_ev_per_cell": -99.2, "magmom_total_mub_per_cell": 0.0, "formation_energy_ev_per_atom": -0.426, "spacegroup": "No. 15", "n_ef_per_ev_atom": 0.454}

{"formula": "ScCuPd6", "functional": "PBE", "state": "optimized geometry", "lattice": [[4.683, 0.746, 0.080], [1.096, 4.614, 0.080], [1.744, 1.617, 6.811]], "species": ["Pd", "Pd", "Pd", "Pd", "Pd", "Pd", "Sc", "Cu"], "frac_coords": [[0.649, 0.649, 0.058], [0.064, 0.554, 0.299], [0.351, 0.351, 0.942], [0.446, 0.936, 0.701], [0.554, 0.064, 0.299], [0.936, 0.446, 0.701], [0.500, 0.500, 0.500], [0.000, 0.000, 0.000]], "total_energy_ev_per_cell": -42.7, "magmom_total_mub_per_cell": 0.0, "formation_energy_ev_per_atom": -0.138, "spacegroup": "No. 12", "n_ef_per_ev_atom": 0.783, "e_above_lowest_polymorph_kj_per_mol_fu": 230}

{"formula": "ScCu2Pd9", "functional": "PBE", "state": "optimized geometry", "lattice": [[3.940, 0.000, 0.000], [0.000, 3.940, 0.000], [0.000, 0.000, 11.748]], "species": ["Sc", "Pd", "Pd", "Pd", "Pd", "Pd", "Pd", "Pd", "Pd", "Pd", "Cu", "Cu"], "frac_coords": [[0.000, 0.000, 0.000], [0.500, 0.000, 0.173], [0.000, 0.500, 0.500], [0.500, 0.500, 0.664], [0.500, 0.000, 0.500], [0.000, 0.500, 0.827], [0.500, 0.500, 0.336], [0.500, 0.000, 0.827], [0.500, 0.500, 0.000], [0.000, 0.500, 0.173], [0.000, 0.000, 0.661], [0.000, 0.000, 0.339]], "total_energy_ev_per_cell": -65.0, "magmom_total_mub_per_cell": 0.0, "formation_energy_ev_per_atom": -0.314, "spacegroup": "No. 123", "n_ef_per_ev_atom": 1.156}

{"formula": "Sc2Cu2Pd", "functional": "PBE", "state": "optimized geometry", "lattice": [[-4.963, -4.779, -2.764], [3.888, -0.386, -6.313], [1.680, -2.429, 1.183]], "species": ["Cu", "Cu", "Cu", "Cu", "Pd", "Pd", "Sc", "Sc", "Sc", "Sc"], "frac_coords": [[0.876, 0.376, 0.500], [0.124, 0.624, 0.500], [0.624, 0.876, 0.500], [0.376, 0.124, 0.500], [0.500, 0.500, 0.000], [0.000, 0.000, 0.000], [0.332, 0.832, 0.000], [0.832, 0.668, 0.000], [0.668, 0.168, 0.000], [0.168, 0.332, 0.000]], "total_energy_ev_per_cell": -53.9, "magmom_total_mub_per_cell": 0.0, "formation_energy_ev_per_atom": -0.178, "spacegroup": "No. 127", "n_ef_per_ev_atom": 0.792, "e_above_lowest_polymorph_kj_per_mol_fu": 157}

{"formula": "Sc4Cu3Pd", "functional": "PBE", "state": "optimized geometry", "lattice": [[-3.107, -0.360, 0.925], [-0.551, -1.902, -2.592], [3.338, -10.616, 7.079]], "species": ["Cu", "Cu", "Cu", "Sc", "Sc", "Sc", "Sc", "Pd"], "frac_coords": [[0.500, 0.500, 0.500], [0.500, 0.500, 0.747], [0.500, 0.500, 0.253], [0.000, 0.000, 0.872], [0.000, 0.000, 0.376], [0.000, 0.000, 0.624], [0.000, 0.000, 0.128], [0.500, 0.500, 0.000]], "total_energy_ev_per_cell": -46.3, "magmom_total_mub_per_cell": 0.0, "formation_energy_ev_per_atom": -0.441, "spacegroup": "No. 123", "n_ef_per_ev_atom": 0.364}